# GGA-PBE TmSc2IrN, optimized geometry
data_TmSc2IrN
_cell_length_a 4.275
_cell_length_b 4.275
_cell_length_c 4.830
_cell_angle_alpha 90.00
_cell_angle_beta 90.00
_cell_angle_gamma 90.00
_symmetry_space_group_name_H-M 'P 1'
_symmetry_Int_Tables_number 1
_symmetry_space_group_name_Hall 'P 1'
loop_
_atom_site_label
_atom_site_type_symbol
_atom_site_fract_x
_atom_site_fract_y
_atom_site_fract_z
N1 N 0.000 0.000 0.009
Ir1 Ir 0.500 0.500 0.553
Sc1 Sc 0.500 0.000 0.975
Sc2 Sc 0.000 0.500 0.975
Tm1 Tm 0.000 0.000 0.488
# crystal system: tetragonal
# formation energy (no corrections): -1.09 eV/atom

***

# GGA-PBE Np3TiTl4S8, optimized geometry
data_Np3TiTl4S8
_cell_length_a 7.847
_cell_length_b 8.840
_cell_length_c 7.848
_cell_angle_alpha 116.37
_cell_angle_beta 120.00
_cell_angle_gamma 90.00
_symmetry_space_group_name_H-M 'P 1'
_symmetry_Int_Tables_number 1
_symmetry_space_group_name_Hall 'P 1'
loop_
_atom_site_label
_atom_site_type_symbol
_atom_site_fract_x
_atom_site_fract_y
_atom_site_fract_z
Tl1 Tl 0.500 0.000 0.500
S1 S 0.220 0.689 0.441
Tl2 Tl 0.000 0.000 0.000
S2 S 0.749 0.689 0.969
S3 S 0.220 0.689 0.969
S4 S 0.251 0.311 0.031
Np1 Np 0.000 0.500 0.500
Tl3 Tl 0.000 0.000 0.500
S5 S 0.780 0.311 0.031
Ti1 Ti 0.000 0.500 0.000
S6 S 0.267 0.301 0.534
Np2 Np 0.500 0.500 0.000
S7 S 0.780 0.311 0.559
S8 S 0.733 0.699 0.466
Tl4 Tl 0.500 0.000 0.000
Np3 Np 0.500 0.500 0.500
# crystal system: trigonal
# formation energy (no corrections): -1.00 eV/atom

***

# GGA-PBE Pa2PdAu, optimized geometry
data_Pa2PdAu
_cell_length_a 5.012
_cell_length_b 5.012
_cell_length_c 5.012
_cell_angle_alpha 60.00
_cell_angle_beta 60.00
_cell_angle_gamma 60.00
_symmetry_space_group_name_H-M 'P 1'
_symmetry_Int_Tables_number 1
_symmetry_space_group_name_Hall 'P 1'
loop_
_atom_site_label
_atom_site_type_symbol
_atom_site_fract_x
_atom_site_fract_y
_atom_site_fract_z
Au1 Au 0.500 0.500 0.500
Pa1 Pa 0.250 0.250 0.250
Pa2 Pa 0.750 0.750 0.750
Pd1 Pd 0.000 0.000 0.000
# ΔE to the lowest computed polymorph: 97.1 meV per atom
# crystal system: cubic

***

# GGA-PBE Tm2TiGe2, optimized geometry
data_Tm2TiGe2
_cell_length_a 5.793
_cell_length_b 7.107
_cell_length_c 7.267
_cell_angle_alpha 119.27
_cell_angle_beta 113.49
_cell_angle_gamma 90.00
_symmetry_space_group_name_H-M 'P 1'
_symmetry_Int_Tables_number 1
_symmetry_space_group_name_Hall 'P 1'
loop_
_atom_site_label
_atom_site_type_symbol
_atom_site_fract_x
_atom_site_fract_y
_atom_site_fract_z
Tm1 Tm 0.152 0.312 0.303
Ti1 Ti 0.250 0.500 0.000
Ge1 Ge 0.396 0.654 0.792
Ge2 Ge 0.604 0.346 0.208
Ti2 Ti 0.750 0.500 0.000
Ge3 Ge 0.104 0.861 0.208
Ge4 Ge 0.896 0.139 0.792
Tm2 Tm 0.348 0.009 0.697
Tm3 Tm 0.848 0.688 0.697
Tm4 Tm 0.652 0.991 0.303
# ΔE to the lowest computed polymorph: 0.0 meV per atom
# crystal system: orthorhombic

***

# GGA-PBE TaGa3Te, optimized geometry
data_TaGa3Te
_cell_length_a 5.136
_cell_length_b 5.136
_cell_length_c 5.136
_cell_angle_alpha 90.00
_cell_angle_beta 90.00
_cell_angle_gamma 90.00
_symmetry_space_group_name_H-M 'P 1'
_symmetry_Int_Tables_number 1
_symmetry_space_group_name_Hall 'P 1'
loop_
_atom_site_label
_atom_site_type_symbol
_atom_site_fract_x
_atom_site_fract_y
_atom_site_fract_z
Te1 Te 0.500 0.500 0.500
Ta1 Ta 0.000 0.000 0.000
Ga1 Ga 0.000 0.500 0.000
Ga2 Ga 0.000 0.000 0.500
Ga3 Ga 0.500 0.000 0.000
# ΔE to the lowest computed polymorph: 0.0 meV per atom
# crystal system: cubic
# formation energy (no corrections): 0.64 eV/atom

***

# GGA-PBE SrAcGe2Pd5, optimized geometry
data_SrAcGe2Pd5
_cell_length_a 4.471
_cell_length_b 4.471
_cell_length_c 9.146
_cell_angle_alpha 90.00
_cell_angle_beta 90.00
_cell_angle_gamma 90.00
_symmetry_space_group_name_H-M 'P 1'
_symmetry_Int_Tables_number 1
_symmetry_space_group_name_Hall 'P 1'
loop_
_atom_site_label
_atom_site_type_symbol
_atom_site_fract_x
_atom_site_fract_y
_atom_site_fract_z
Pd1 Pd 0.500 0.500 0.500
Ge1 Ge 0.500 0.500 0.147
Sr1 Sr 0.000 0.000 0.000
Ge2 Ge 0.500 0.500 0.853
Pd2 Pd 0.500 0.000 0.730
Pd3 Pd 0.000 0.500 0.270
Pd4 Pd 0.000 0.500 0.730
Ac1 Ac 0.000 0.000 0.500
Pd5 Pd 0.500 0.000 0.270
# raw total energy: -47.59 eV per cell
# crystal system: tetragonal

***

# GGA-PBE Na3Zn2Sn4, optimized geometry
data_Na3Zn2Sn4
_cell_length_a 4.765
_cell_length_b 6.111
_cell_length_c 9.069
_cell_angle_alpha 73.37
_cell_angle_beta 74.77
_cell_angle_gamma 67.05
_symmetry_space_group_name_H-M 'P 1'
_symmetry_Int_Tables_number 1
_symmetry_space_group_name_Hall 'P 1'
loop_
_atom_site_label
_atom_site_type_symbol
_atom_site_fract_x
_atom_site_fract_y
_atom_site_fract_z
Sn1 Sn 0.257 0.391 0.094
Sn2 Sn 0.977 0.694 0.352
Zn1 Zn 0.589 0.083 0.739
Zn2 Zn 0.411 0.917 0.261
Na1 Na 0.000 0.000 0.000
Na2 Na 0.679 0.270 0.371
Sn3 Sn 0.023 0.306 0.648
Sn4 Sn 0.743 0.609 0.906
Na3 Na 0.321 0.730 0.629
# ΔE to the lowest computed polymorph: 0.0 meV per atom
# crystal system: monoclinic

***

# GGA-PBE Cs5BiSe, optimized geometry
data_Cs5BiSe
_cell_length_a 7.817
_cell_length_b 7.817
_cell_length_c 13.297
_cell_angle_alpha 92.84
_cell_angle_beta 92.84
_cell_angle_gamma 93.64
_symmetry_space_group_name_H-M 'P 1'
_symmetry_Int_Tables_number 1
_symmetry_space_group_name_Hall 'P 1'
loop_
_atom_site_label
_atom_site_type_symbol
_atom_site_fract_x
_atom_site_fract_y
_atom_site_fract_z
Cs1 Cs 0.412 0.236 0.992
Cs2 Cs 0.034 0.632 0.845
Se1 Se 0.000 0.000 0.000
Cs3 Cs 0.632 0.034 0.345
Cs4 Cs 0.368 0.966 0.655
Cs5 Cs 0.588 0.764 0.008
Cs6 Cs 0.132 0.868 0.250
Bi1 Bi 0.492 0.508 0.250
Cs7 Cs 0.236 0.412 0.492
Cs8 Cs 0.966 0.368 0.155
Cs9 Cs 0.764 0.588 0.508
Se2 Se 0.000 0.000 0.500
Bi2 Bi 0.508 0.492 0.750
Cs10 Cs 0.868 0.132 0.750
# crystal system: monoclinic
# formation energy (no corrections): -0.59 eV/atom

***

# GGA-PBE YBeIn, optimized geometry
data_YBeIn
_cell_length_a 4.458
_cell_length_b 7.287
_cell_length_c 4.458
_cell_angle_alpha 90.00
_cell_angle_beta 120.00
_cell_angle_gamma 90.00
_symmetry_space_group_name_H-M 'P 1'
_symmetry_Int_Tables_number 1
_symmetry_space_group_name_Hall 'P 1'
loop_
_atom_site_label
_atom_site_type_symbol
_atom_site_fract_x
_atom_site_fract_y
_atom_site_fract_z
In1 In 0.192 0.958 0.189
Y1 Y 0.526 0.191 0.856
Be1 Be 0.859 0.886 0.523
Y2 Y 0.526 0.691 0.856
In2 In 0.859 0.458 0.523
Be2 Be 0.192 0.386 0.189
# ΔE to the lowest computed polymorph: 0.0 meV per atom
# crystal system: hexagonal

***

# GGA-PBE La2In2Re, optimized geometry
data_La2In2Re
_cell_length_a 7.516
_cell_length_b 7.516
_cell_length_c 5.356
_cell_angle_alpha 90.00
_cell_angle_beta 90.00
_cell_angle_gamma 90.00
_symmetry_space_group_name_H-M 'P 1'
_symmetry_Int_Tables_number 1
_symmetry_space_group_name_Hall 'P 1'
loop_
_atom_site_label
_atom_site_type_symbol
_atom_site_fract_x
_atom_site_fract_y
_atom_site_fract_z
In1 In 0.650 0.850 0.500
In2 In 0.350 0.150 0.500
La1 La 0.834 0.666 0.000
In3 In 0.150 0.650 0.500
In4 In 0.850 0.350 0.500
Re1 Re 0.000 0.000 0.000
La2 La 0.666 0.166 0.000
La3 La 0.334 0.834 0.000
La4 La 0.166 0.334 0.000
Re2 Re 0.500 0.500 0.000
# ΔE to the lowest computed polymorph: 121.7 meV per atom
# crystal system: tetragonal

***

# GGA-PBE Nd4SmAu4, optimized geometry
data_Nd4SmAu4
_cell_length_a 6.210
_cell_length_b 9.318
_cell_length_c 9.318
_cell_angle_alpha 90.00
_cell_angle_beta 90.00
_cell_angle_gamma 90.00
_symmetry_space_group_name_H-M 'P 1'
_symmetry_Int_Tables_number 1
_symmetry_space_group_name_Hall 'P 1'
loop_
_atom_site_label
_atom_site_type_symbol
_atom_site_fract_x
_atom_site_fract_y
_atom_site_fract_z
Nd1 Nd 0.590 0.910 0.694
Sm1 Sm 0.000 0.000 0.000
Au1 Au 0.899 0.281 0.884
Nd2 Nd 0.410 0.694 0.090
Sm2 Sm 0.500 0.500 0.500
Nd3 Nd 0.910 0.410 0.194
Nd4 Nd 0.590 0.090 0.306
Au2 Au 0.101 0.116 0.281
Nd5 Nd 0.410 0.306 0.910
Au3 Au 0.601 0.781 0.384
Au4 Au 0.399 0.384 0.219
Nd6 Nd 0.910 0.590 0.806
Au5 Au 0.101 0.884 0.719
Nd7 Nd 0.090 0.806 0.410
Nd8 Nd 0.090 0.194 0.590
Au6 Au 0.399 0.616 0.781
Au7 Au 0.899 0.719 0.116
Au8 Au 0.601 0.219 0.616
# raw total energy: -83.96 eV per cell
# crystal system: tetragonal

***

# GGA-PBE Fe2CuTe, optimized geometry
data_Fe2CuTe
_cell_length_a 7.833
_cell_length_b 7.833
_cell_length_c 7.833
_cell_angle_alpha 22.65
_cell_angle_beta 22.65
_cell_angle_gamma 22.65
_symmetry_space_group_name_H-M 'P 1'
_symmetry_Int_Tables_number 1
_symmetry_space_group_name_Hall 'P 1'
loop_
_atom_site_label
_atom_site_type_symbol
_atom_site_fract_x
_atom_site_fract_y
_atom_site_fract_z
Fe1 Fe 0.005 0.005 0.005
Cu1 Cu 0.750 0.750 0.750
Fe2 Fe 0.495 0.495 0.495
Te1 Te 0.250 0.250 0.250
# crystal system: trigonal
# formation energy (no corrections): 0.60 eV/atom

***

# GGA-PBE Pr2ScAu4, optimized geometry
data_Pr2ScAu4
_cell_length_a 5.024
_cell_length_b 5.024
_cell_length_c 8.872
_cell_angle_alpha 73.55
_cell_angle_beta 73.55
_cell_angle_gamma 60.00
_symmetry_space_group_name_H-M 'P 1'
_symmetry_Int_Tables_number 1
_symmetry_space_group_name_Hall 'P 1'
loop_
_atom_site_label
_atom_site_type_symbol
_atom_site_fract_x
_atom_site_fract_y
_atom_site_fract_z
Pr1 Pr 0.241 0.241 0.277
Au1 Au 0.884 0.884 0.349
Sc1 Sc 0.000 0.000 0.000
Au2 Au 0.640 0.640 0.081
Au3 Au 0.116 0.116 0.651
Au4 Au 0.360 0.360 0.919
Pr2 Pr 0.759 0.759 0.723
# raw total energy: -33.62 eV per cell
# crystal system: trigonal

***

# GGA-PBE CoSeCl2, optimized geometry
data_CoSeCl2
_cell_length_a 2.940
_cell_length_b 2.940
_cell_length_c 9.567
_cell_angle_alpha 90.00
_cell_angle_beta 90.00
_cell_angle_gamma 90.00
_symmetry_space_group_name_H-M 'P 1'
_symmetry_Int_Tables_number 1
_symmetry_space_group_name_Hall 'P 1'
loop_
_atom_site_label
_atom_site_type_symbol
_atom_site_fract_x
_atom_site_fract_y
_atom_site_fract_z
Co1 Co 0.000 0.000 0.523
Se1 Se 0.500 0.500 0.659
Cl1 Cl 0.000 0.000 0.966
Cl2 Cl 0.500 0.500 0.352
# ΔE to the lowest computed polymorph: 404.4 meV per atom
# crystal system: tetragonal
# formation energy (no corrections): 0.16 eV/atom

***

# GGA-PBE LaSc2SiC, optimized geometry
data_LaSc2SiC
_cell_length_a 4.538
_cell_length_b 4.538
_cell_length_c 5.080
_cell_angle_alpha 90.00
_cell_angle_beta 90.00
_cell_angle_gamma 90.00
_symmetry_space_group_name_H-M 'P 1'
_symmetry_Int_Tables_number 1
_symmetry_space_group_name_Hall 'P 1'
loop_
_atom_site_label
_atom_site_type_symbol
_atom_site_fract_x
_atom_site_fract_y
_atom_site_fract_z
Si1 Si 0.500 0.500 0.500
Sc1 Sc 0.500 0.000 0.000
La1 La 0.000 0.000 0.500
Sc2 Sc 0.000 0.500 0.000
C1 C 0.000 0.000 0.000
# crystal system: tetragonal
# formation energy (no corrections): -0.43 eV/atom

***

# GGA-PBE MgZrP2H8O12, optimized geometry
data_MgZrP2H8O12
_cell_length_a 5.334
_cell_length_b 9.538
_cell_length_c 9.756
_cell_angle_alpha 96.67
_cell_angle_beta 92.54
_cell_angle_gamma 90.62
_symmetry_space_group_name_H-M 'P 1'
_symmetry_Int_Tables_number 1
_symmetry_space_group_name_Hall 'P 1'
loop_
_atom_site_label
_atom_site_type_symbol
_atom_site_fract_x
_atom_site_fract_y
_atom_site_fract_z
H1 H 0.453 0.912 0.875
Zr1 Zr 0.742 0.252 0.511
O1 O 0.720 0.123 0.107
O2 O 0.652 0.314 0.928
H2 H 0.143 0.260 0.959
H3 H 0.587 0.274 0.836
H4 H 0.413 0.726 0.164
O3 O 0.253 0.059 0.167
O4 O 0.035 0.373 0.611
O5 O 0.348 0.686 0.072
O6 O 0.450 0.132 0.405
O7 O 0.018 0.848 0.641
P1 P 0.726 0.551 0.321
Zr2 Zr 0.258 0.748 0.489
P2 P 0.274 0.449 0.679
H5 H 0.200 0.848 0.800
H6 H 0.959 0.820 0.185
O8 O 0.747 0.941 0.833
O9 O 0.760 0.512 0.166
O10 O 0.209 0.395 0.105
O11 O 0.131 0.167 0.902
O12 O 0.240 0.488 0.834
H7 H 0.041 0.180 0.815
O13 O 0.821 0.091 0.640
O14 O 0.869 0.833 0.098
O15 O 0.325 0.586 0.612
H8 H 0.670 0.238 0.990
H9 H 0.547 0.088 0.125
O16 O 0.791 0.605 0.895
Mg1 Mg 0.000 0.000 0.000
H10 H 0.857 0.740 0.041
P3 P 0.782 0.938 0.677
O17 O 0.179 0.909 0.360
O18 O 0.280 0.877 0.893
H11 H 0.047 0.444 0.129
H12 H 0.953 0.556 0.871
H13 H 0.741 0.655 0.817
H14 H 0.259 0.345 0.183
O19 O 0.550 0.868 0.595
Mg2 Mg 0.500 0.500 0.000
O20 O 0.965 0.627 0.389
P4 P 0.218 0.062 0.323
O21 O 0.982 0.152 0.359
H15 H 0.800 0.152 0.200
H16 H 0.330 0.762 0.010
O22 O 0.503 0.653 0.343
O23 O 0.497 0.347 0.657
O24 O 0.675 0.414 0.388
# raw total energy: -305.06 eV per cell
# crystal system: triclinic

***

# GGA-PBE La2ZrRe, optimized geometry
data_La2ZrRe
_cell_length_a 10.267
_cell_length_b 10.267
_cell_length_c 10.267
_cell_angle_alpha 19.29
_cell_angle_beta 19.29
_cell_angle_gamma 19.29
_symmetry_space_group_name_H-M 'P 1'
_symmetry_Int_Tables_number 1
_symmetry_space_group_name_Hall 'P 1'
loop_
_atom_site_label
_atom_site_type_symbol
_atom_site_fract_x
_atom_site_fract_y
_atom_site_fract_z
La1 La 0.990 0.990 0.990
Re1 Re 0.250 0.250 0.250
Zr1 Zr 0.750 0.750 0.750
La2 La 0.510 0.510 0.510
# ΔE to the lowest computed polymorph: 472.1 meV per atom
# crystal system: trigonal

***

# GGA-PBE Na2Sr3Cu, optimized geometry
data_Na2Sr3Cu
_cell_length_a 6.134
_cell_length_b 8.586
_cell_length_c 10.024
_cell_angle_alpha 90.02
_cell_angle_beta 107.82
_cell_angle_gamma 90.00
_symmetry_space_group_name_H-M 'P 1'
_symmetry_Int_Tables_number 1
_symmetry_space_group_name_Hall 'P 1'
loop_
_atom_site_label
_atom_site_type_symbol
_atom_site_fract_x
_atom_site_fract_y
_atom_site_fract_z
Sr1 Sr 0.884 0.000 0.769
Cu1 Cu 0.000 0.750 0.000
Sr2 Sr 0.116 0.500 0.231
Na1 Na 0.702 0.749 0.404
Sr3 Sr 0.500 0.250 0.000
Sr4 Sr 0.116 0.000 0.231
Na2 Na 0.298 0.751 0.596
Sr5 Sr 0.884 0.500 0.769
Na3 Na 0.702 0.249 0.404
Sr6 Sr 0.500 0.750 0.000
Cu2 Cu 0.000 0.250 0.000
Na4 Na 0.298 0.251 0.596
# raw total energy: -23.53 eV per cell
# crystal system: monoclinic

***

# GGA-PBE SrBiTe2Pd, optimized geometry
data_SrBiTe2Pd
_cell_length_a 5.570
_cell_length_b 5.217
_cell_length_c 5.570
_cell_angle_alpha 90.00
_cell_angle_beta 90.00
_cell_angle_gamma 90.00
_symmetry_space_group_name_H-M 'P 1'
_symmetry_Int_Tables_number 1
_symmetry_space_group_name_Hall 'P 1'
loop_
_atom_site_label
_atom_site_type_symbol
_atom_site_fract_x
_atom_site_fract_y
_atom_site_fract_z
Sr1 Sr 0.500 0.500 0.500
Pd1 Pd 0.000 0.000 0.000
Bi1 Bi 0.000 0.500 0.000
Te1 Te 0.500 0.000 0.000
Te2 Te 0.000 0.000 0.500
# crystal system: tetragonal
# formation energy (no corrections): -0.44 eV/atom

***

# GGA-PBE BaBeW2, optimized geometry
data_BaBeW2
_cell_length_a 3.281
_cell_length_b 3.281
_cell_length_c 7.646
_cell_angle_alpha 90.00
_cell_angle_beta 90.00
_cell_angle_gamma 90.00
_symmetry_space_group_name_H-M 'P 1'
_symmetry_Int_Tables_number 1
_symmetry_space_group_name_Hall 'P 1'
loop_
_atom_site_label
_atom_site_type_symbol
_atom_site_fract_x
_atom_site_fract_y
_atom_site_fract_z
Ba1 Ba 0.000 0.000 0.509
W1 W 0.000 0.000 0.989
Be1 Be 0.500 0.500 0.844
W2 W 0.500 0.500 0.159
# raw total energy: -28.94 eV per cell
# crystal system: tetragonal